# 1
Material: Sc2CdC2
Method: DFT, PBE
State: relaxed

Cell: 4.2047 4.2047 8.6308 Å, 90.00 90.00 90.00°
With the nearest neighbours (Å) after each atom.
Positions (direct):
Sc  0.0000  0.5000  0.2500  4 C 2.56
Sc  0.0000  0.5000  0.7500  4 C 2.56
Sc  0.5000  0.0000  0.2500  4 C 2.56
Sc  0.5000  0.0000  0.7500  4 C 2.56
Cd  0.0000  0.0000  0.0000  8 Sc 3.01, 8 C 3.05
Cd  0.5000  0.5000  0.5000  8 Sc 3.01, 8 C 3.05
C  0.0000  0.0000  0.4195  1 C 1.39
C  0.0000  0.0000  0.5805  1 C 1.39
C  0.5000  0.5000  0.0805  1 C 1.39
C  0.5000  0.5000  0.9195  1 C 1.39

Values from the calculation:
The value obtained for the energy is -6.064 eV per atom. The density of states at the Fermi level is 8.75 states/eV per cell. The formation energy is 32.9 kJ per mole of atoms. As for the crystal system: tetragonal.



# 2
Material: Rb2IrF
Method: DFT, PBE
State: relaxed

Cell: 8.0838 8.0838 8.0838 Å, 90.00 90.00 90.00°
With the nearest neighbours (Å) after each atom.
Positions (direct):
Rb  0.2500  0.2500  0.2500  4 F 3.50, 4 Ir 3.50
Rb  0.2500  0.2500  0.7500  4 Ir 3.50, 4 F 3.50
Rb  0.2500  0.7500  0.2500  4 Ir 3.50, 4 F 3.50
Rb  0.2500  0.7500  0.7500  4 F 3.50, 4 Ir 3.50
Rb  0.7500  0.2500  0.2500  4 Ir 3.50, 4 F 3.50
Rb  0.7500  0.2500  0.7500  4 F 3.50, 4 Ir 3.50
Rb  0.7500  0.7500  0.2500  4 F 3.50, 4 Ir 3.50
Rb  0.7500  0.7500  0.7500  4 Ir 3.50, 4 F 3.50
Ir  0.0000  0.0000  0.0000  8 Rb 3.50
Ir  0.0000  0.5000  0.5000  8 Rb 3.50
Ir  0.5000  0.0000  0.5000  8 Rb 3.50
Ir  0.5000  0.5000  0.0000  8 Rb 3.50
F  0.0000  0.0000  0.5000  8 Rb 3.50
F  0.0000  0.5000  0.0000  8 Rb 3.50
F  0.5000  0.0000  0.0000  8 Rb 3.50
F  0.5000  0.5000  0.5000  8 Rb 3.50

Values from the calculation:
The value obtained for the energy is -3.221 eV per atom. The density of states at the Fermi level is 0.00 states/eV per cell. The calculation puts the formation energy from raw total energies at -21 kJ/mol of formula units. As for the crystal system: cubic.



# 3
Material: Ti5Be4Ni
Method: DFT, PBE
State: relaxed

Cell: 2.9533 2.9533 14.7072 Å, 90.00 90.00 90.00°
With the nearest neighbours (Å) after each atom.
Positions (direct):
Ti  0.0000  0.0000  0.0000  8 Be 2.55
Ti  0.0000  0.0000  0.1975  8 Be 2.54
Ti  0.0000  0.0000  0.3955  4 Be 2.55, 4 Ni 2.59
Ti  0.0000  0.0000  0.6045  4 Be 2.55, 4 Ni 2.59
Ti  0.0000  0.0000  0.8025  8 Be 2.54
Be  0.5000  0.5000  0.0989  8 Ti 2.54-2.55
Be  0.5000  0.5000  0.2958  8 Ti 2.54-2.55
Be  0.5000  0.5000  0.7042  8 Ti 2.54-2.55
Be  0.5000  0.5000  0.9011  8 Ti 2.54-2.55
Ni  0.5000  0.5000  0.5000  8 Ti 2.59

Values from the calculation:
The value obtained for the energy is -6.195 eV per atom. The density of states at the Fermi level is 6.66 states/eV per cell. The formation energy is -17.2 kJ per mole of atoms. As for the crystal system: tetragonal.



# 4
Material: NaAc3Pb12
Method: DFT, PBE
State: relaxed

Cell: 5.0096 5.0096 20.2786 Å, 90.00 90.00 90.00°
With the nearest neighbours (Å) after each atom.
Positions (direct):
Na  0.0000  0.0000  0.0000  12 Pb 3.45-3.54
Ac  0.0000  0.0000  0.2491  12 Pb 3.54-3.66
Ac  0.0000  0.0000  0.5000  12 Pb 3.54-3.59
Ac  0.0000  0.0000  0.7509  12 Pb 3.54-3.66
Pb  0.0000  0.5000  0.1172  8 Pb 3.45-3.59, 2 Na 3.45, 2 Ac 3.66
Pb  0.0000  0.5000  0.3735  8 Pb 3.54-3.62, 4 Ac 3.56-3.59
Pb  0.0000  0.5000  0.6265  8 Pb 3.54-3.62, 4 Ac 3.56-3.59
Pb  0.0000  0.5000  0.8828  8 Pb 3.45-3.59, 2 Na 3.45, 2 Ac 3.66
Pb  0.5000  0.0000  0.1172  8 Pb 3.45-3.59, 2 Na 3.45, 2 Ac 3.66
Pb  0.5000  0.0000  0.3735  8 Pb 3.54-3.62, 4 Ac 3.56-3.59
Pb  0.5000  0.0000  0.6265  8 Pb 3.54-3.62, 4 Ac 3.56-3.59
Pb  0.5000  0.0000  0.8828  8 Pb 3.45-3.59, 2 Na 3.45, 2 Ac 3.66
Pb  0.5000  0.5000  0.0000  8 Pb 3.45, 4 Na 3.54
Pb  0.5000  0.5000  0.2443  4 Ac 3.54, 8 Pb 3.59-3.62
Pb  0.5000  0.5000  0.5000  4 Ac 3.54, 8 Pb 3.59
Pb  0.5000  0.5000  0.7557  4 Ac 3.54, 8 Pb 3.59-3.62

Values from the calculation:
The value obtained for the energy is -3.964 eV per atom. The density of states at the Fermi level is 7.41 states/eV per cell. The formation energy is -31.9 kJ per mole of atoms. As for the crystal system: tetragonal.



# 5
Material: UGa2Pt7
Method: DFT, PBE
State: relaxed

Cell: 7.2964 7.2964 4.3755 Å, 90.00 90.00 119.35°
With the nearest neighbours (Å) after each atom.
Positions (direct):
U  0.0000  0.0000  0.0000  10 Pt 2.64-2.93
Ga  0.3023  0.6977  0.5000  5 Pt 2.48-2.56
Ga  0.6977  0.3023  0.5000  5 Pt 2.48-2.56
Pt  0.0771  0.2958  0.5000  2 Ga 2.56-2.79, 3 Pt 2.69-2.76
Pt  0.2098  0.7902  0.0000  2 Ga 2.48, 1 U 2.64
Pt  0.2958  0.0771  0.5000  2 Ga 2.56-2.79, 3 Pt 2.69-2.76
Pt  0.5000  0.5000  0.5000  2 Ga 2.49, 4 Pt 2.69
Pt  0.7042  0.9229  0.5000  2 Ga 2.56-2.79, 3 Pt 2.69-2.76
Pt  0.7902  0.2098  0.0000  2 Ga 2.48, 1 U 2.64
Pt  0.9229  0.7042  0.5000  2 Ga 2.56-2.79, 3 Pt 2.69-2.76

Values from the calculation:
The value obtained for the energy is -6.252 eV per atom. The density of states at the Fermi level is 6.44 states/eV per cell. The formation energy is -27.9 kJ per mole of atoms. As for the crystal system: orthorhombic.



# 6
Material: ZnAgHgRh
Method: DFT, PBE
State: relaxed

Cell: 6.4586 6.4586 6.4586 Å, 90.00 90.00 90.00°
With the nearest neighbours (Å) after each atom.
Positions (direct):
Zn  0.0000  0.0000  0.0000  4 Rh 2.80, 4 Ag 2.80
Zn  0.0000  0.5000  0.5000  4 Rh 2.80, 4 Ag 2.80
Zn  0.5000  0.0000  0.5000  4 Rh 2.80, 4 Ag 2.80
Zn  0.5000  0.5000  0.0000  4 Rh 2.80, 4 Ag 2.80
Ag  0.2500  0.2500  0.7500  4 Hg 2.80, 4 Zn 2.80
Ag  0.2500  0.7500  0.2500  4 Hg 2.80, 4 Zn 2.80
Ag  0.7500  0.2500  0.2500  4 Hg 2.80, 4 Zn 2.80
Ag  0.7500  0.7500  0.7500  4 Hg 2.80, 4 Zn 2.80
Hg  0.0000  0.0000  0.5000  4 Rh 2.80, 4 Ag 2.80
Hg  0.0000  0.5000  0.0000  4 Rh 2.80, 4 Ag 2.80
Hg  0.5000  0.0000  0.0000  4 Rh 2.80, 4 Ag 2.80
Hg  0.5000  0.5000  0.5000  4 Rh 2.80, 4 Ag 2.80
Rh  0.2500  0.2500  0.2500  4 Hg 2.80, 4 Zn 2.80
Rh  0.2500  0.7500  0.7500  4 Hg 2.80, 4 Zn 2.80
Rh  0.7500  0.2500  0.7500  4 Hg 2.80, 4 Zn 2.80
Rh  0.7500  0.7500  0.2500  4 Hg 2.80, 4 Zn 2.80

Values from the calculation:
The value obtained for the energy is -2.921 eV per atom. The density of states at the Fermi level is 12.79 states/eV per cell. The formation energy is 2.3 kJ per mole of atoms. As for the crystal system: cubic.



# 7
Material: La2InRh
Method: DFT, PBE
State: relaxed

Cell: 3.5181 3.5181 8.7742 Å, 90.00 90.00 90.00°
With the nearest neighbours (Å) after each atom.
Positions (direct):
La  0.0000  0.0000  0.0000  4 In 3.39, 4 La 3.52, 1 Rh 3.79
La  0.5000  0.5000  0.3692  4 Rh 3.04, 1 In 3.23
In  0.5000  0.5000  0.7370  4 Rh 2.89, 1 La 3.23
Rh  0.0000  0.0000  0.5683  4 In 2.89, 4 La 3.04

Values from the calculation:
The value obtained for the energy is -5.335 eV per atom. The density of states at the Fermi level is 4.85 states/eV per cell. The formation energy is -33.7 kJ per mole of atoms. As for the crystal system: tetragonal.



# 8
Material: YAl2TcAu
Method: DFT, PBE
State: relaxed

Cell: 5.4553 5.4553 4.8453 Å, 90.00 90.00 90.00°
With the nearest neighbours (Å) after each atom.
Positions (direct):
Y  0.0000  0.0000  0.0000  2 Tc 2.42
Al  0.0000  0.5000  0.0000  2 Y 2.73
Al  0.5000  0.0000  0.0000  2 Y 2.73
Tc  0.0000  0.0000  0.5000  2 Y 2.42
Au  0.5000  0.5000  0.5000  8 Al 3.65, 4 Tc 3.86

Values from the calculation:
The value obtained for the energy is -3.946 eV per atom. The density of states at the Fermi level is 2.91 states/eV per cell. The formation energy is 151.8 kJ per mole of atoms. As for the crystal system: tetragonal.



- Which value of energy does entry 2 give?
  -3.221 eV per atom